The following is a DFT calculation (PBE with a Hubbard U) of crystalline YMoF2 at its relaxed geometry.

Calculated values
- ΔE to the lowest computed polymorph (eV/atom) = 0.554
- space-group type = Fm-3m (225)
- electronic total energy (eV/atom) = -5.4220

Unit cell a=4.6156 b=4.6156 c=4.6156 alpha=60.00 beta=60.00 gamma=60.00
Site moments in Bohr magnetons follow the coordinates.
Element x y z (fractional)
Y 0.0000 0.0000 0.0000  0.05
Mo 0.5000 0.5000 0.5000  4.04
F 0.2500 0.2500 0.2500  0.10
F 0.7500 0.7500 0.7500  0.10